# 1
This record from Alexandria describes an optimized crystal structure of Sr3TiGa10O20. The functional is PBE-GGA.

Summary:
Formation energy without anion corrections   -2.194 eV per atom
Density of states at the Fermi level   0.00 states/eV/cell

Lattice parameters (Å, degrees): 9.837 9.837 5.169 104.95 104.95 73.92
Fractional coordinates of all 34 atoms:
1 Sr 0.000 0.000 0.000
2 Sr 0.277 0.277 0.294
3 Sr 0.723 0.723 0.706
4 Ti 0.500 0.500 0.000
5 Ga 0.008 0.278 0.653
6 Ga 0.143 0.578 0.835
7 Ga 0.278 0.008 0.653
8 Ga 0.365 0.635 0.500
9 Ga 0.422 0.857 0.165
10 Ga 0.578 0.143 0.835
11 Ga 0.635 0.365 0.500
12 Ga 0.722 0.992 0.347
13 Ga 0.857 0.422 0.165
14 Ga 0.992 0.722 0.347
15 O 0.003 0.281 0.013
16 O 0.095 0.095 0.493
17 O 0.123 0.397 0.647
18 O 0.171 0.668 0.578
19 O 0.281 0.003 0.013
20 O 0.307 0.543 0.107
21 O 0.332 0.829 0.422
22 O 0.397 0.123 0.647
23 O 0.434 0.434 0.612
24 O 0.457 0.693 0.893
25 O 0.543 0.307 0.107
26 O 0.566 0.566 0.388
27 O 0.603 0.877 0.353
28 O 0.668 0.171 0.578
29 O 0.693 0.457 0.893
30 O 0.719 0.997 0.987
31 O 0.829 0.332 0.422
32 O 0.877 0.603 0.353
33 O 0.905 0.905 0.507
34 O 0.997 0.719 0.987

---

# 2
This record from Alexandria describes an optimized crystal structure of SrCdPt. The functional is PBE-GGA.

Summary:
Density of states at the Fermi level   0.26 states/eV/cell
Energy of formation   -0.032 eV per atom

Lattice parameters (Å, degrees): 5.071 5.071 5.071 60.00 60.00 60.00
Fractional coordinates of all 3 atoms:
1 Sr 0.000 0.000 0.000
2 Cd 0.250 0.250 0.250
3 Pt 0.750 0.750 0.750

---

# 3
This record from Alexandria describes an optimized crystal structure of Ba2Bi2Pb. The functional is PBE-GGA.

Summary:
Density of states at the Fermi level   6.69 states/eV/cell
Energy of formation   -0.687 eV per atom

Lattice parameters (Å, degrees): 8.767 8.767 5.177 90.00 90.00 90.00
Fractional coordinates of all 10 atoms:
1 Ba 0.177 0.323 0.000
2 Ba 0.323 0.823 0.000
3 Ba 0.677 0.177 0.000
4 Ba 0.823 0.677 0.000
5 Bi 0.126 0.626 0.500
6 Bi 0.374 0.126 0.500
7 Bi 0.626 0.874 0.500
8 Bi 0.874 0.374 0.500
9 Pb 0.000 0.000 0.500
10 Pb 0.500 0.500 0.500

---

# 4
This record from Alexandria describes an optimized crystal structure of Al2InIO8. The functional is PBE-GGA.

Summary:
Formation energy without anion corrections   -1.567 eV per atom

Lattice parameters (Å, degrees): 4.571 4.571 6.225 90.00 90.00 90.47
Fractional coordinates of all 12 atoms:
1 Al 0.000 0.000 0.238
2 Al 0.000 0.000 0.762
3 In 0.500 0.500 0.000
4 I 0.500 0.500 0.500
5 O 0.180 0.180 0.000
6 O 0.199 0.199 0.500
7 O 0.298 0.702 0.279
8 O 0.298 0.702 0.721
9 O 0.702 0.298 0.279
10 O 0.702 0.298 0.721
11 O 0.801 0.801 0.500
12 O 0.820 0.820 0.000

---

# 5
This record from Alexandria describes an optimized crystal structure of K2PrBr5. The functional is PBE-GGA.

Summary:
Formation energy without anion corrections   -1.853 eV per atom
Density of states at the Fermi level   0.00 states/eV/cell

Lattice parameters (Å, degrees): 13.699 9.279 8.624 90.00 90.00 90.00
Fractional coordinates of all 32 atoms:
1 K 0.173 0.004 0.051
2 K 0.173 0.496 0.051
3 K 0.327 0.504 0.551
4 K 0.327 0.996 0.551
5 K 0.673 0.004 0.449
6 K 0.673 0.496 0.449
7 K 0.827 0.504 0.949
8 K 0.827 0.996 0.949
9 Pr 0.006 0.250 0.577
10 Pr 0.494 0.750 0.077
11 Pr 0.506 0.250 0.923
12 Pr 0.994 0.750 0.423
13 Br 0.009 0.250 0.924
14 Br 0.078 0.544 0.665
15 Br 0.078 0.956 0.665
16 Br 0.180 0.250 0.372
17 Br 0.204 0.750 0.335
18 Br 0.296 0.250 0.835
19 Br 0.320 0.750 0.872
20 Br 0.422 0.044 0.165
21 Br 0.422 0.456 0.165
22 Br 0.491 0.750 0.424
23 Br 0.509 0.250 0.576
24 Br 0.578 0.544 0.835
25 Br 0.578 0.956 0.835
26 Br 0.680 0.250 0.128
27 Br 0.704 0.750 0.165
28 Br 0.796 0.250 0.665
29 Br 0.820 0.750 0.628
30 Br 0.922 0.044 0.335
31 Br 0.922 0.456 0.335
32 Br 0.991 0.750 0.076

---

# 6
This record from Alexandria describes an optimized crystal structure of MoAsPdSe2. The functional is PBE-GGA.

Summary:
Formation energy without anion corrections   0.514 eV per atom
Density of states at the Fermi level   4.23 states/eV/cell

Lattice parameters (Å, degrees): 4.875 4.875 4.916 90.00 90.00 90.00
Fractional coordinates of all 5 atoms:
1 Mo 0.000 0.000 0.000
2 As 0.000 0.000 0.500
3 Pd 0.500 0.500 0.500
4 Se 0.000 0.500 0.000
5 Se 0.500 0.000 0.000